--- i ---
{
  "formula": "CaCSe2N",
  "functional": "PBE-GGA",
  "state": "relaxed",
  "density_g_cm3": 4.3,
  "total_magnetization_mub_per_cell": 0.00,
  "cell": [[5.753, 0.000, 0.000], [0.000, 5.753, 0.000], [0.000, 0.000, 2.591]],
  "species": ["Ca", "C", "Se", "Se", "N"],
  "fractional_positions": [[0.000, 0.000, 0.000], [0.500, 0.500, 0.500], [0.000, 0.500, 0.500], [0.500, 0.000, 0.500], [0.500, 0.500, 0.000]]
}

--- ii ---
{
  "formula": "CaCSe2N",
  "functional": "PBE-GGA",
  "state": "relaxed",
  "density_g_cm3": 2.5,
  "total_magnetization_mub_per_cell": 3.02,
  "cell": [[5.669, 0.000, 0.000], [0.000, 5.669, 0.000], [0.000, 0.000, 4.565]],
  "species": ["Ca", "C", "Se", "Se", "N"],
  "fractional_positions": [[0.000, 0.000, 0.000], [0.500, 0.500, 0.500], [0.000, 0.500, 0.000], [0.500, 0.000, 0.000], [0.000, 0.000, 0.500]]
}

Most stable: i

--- i ---
{
  "formula": "Na2CaC2O6",
  "functional": "PBE-GGA",
  "state": "relaxed",
  "density_g_cm3": 2.4,
  "total_magnetization_mub_per_cell": 0.00,
  "cell": [[4.508, -2.618, 0.000], [4.508, 2.618, 0.000], [-3.237, 0.000, 5.923]],
  "species": ["Na", "Na", "Ca", "C", "C", "O", "O", "O", "O", "O", "O"],
  "fractional_positions": [[0.194, 0.194, 0.121], [0.806, 0.806, 0.879], [0.000, 0.000, 0.500], [0.448, 0.448, 0.751], [0.552, 0.552, 0.249], [0.254, 0.683, 0.216], [0.290, 0.290, 0.687], [0.317, 0.746, 0.784], [0.683, 0.254, 0.216], [0.710, 0.710, 0.313], [0.746, 0.317, 0.784]]
}

--- ii ---
{
  "formula": "Na2CaC2O6",
  "functional": "PBE-GGA",
  "state": "relaxed",
  "density_g_cm3": 2.4,
  "total_magnetization_mub_per_cell": 0.00,
  "cell": [[8.885, 0.000, 0.000], [0.000, 12.512, 0.000], [0.000, 0.000, 10.183]],
  "species": ["Na", "Na", "Na", "Na", "Na", "Na", "Na", "Na", "Na", "Na", "Na", "Na", "Na", "Na", "Na", "Na", "Ca", "Ca", "Ca", "Ca", "Ca", "Ca", "Ca", "Ca", "C", "C", "C", "C", "C", "C", "C", "C", "C", "C", "C", "C", "C", "C", "C", "C", "O", "O", "O", "O", "O", "O", "O", "O", "O", "O", "O", "O", "O", "O", "O", "O", "O", "O", "O", "O", "O", "O", "O", "O", "O", "O", "O", "O", "O", "O", "O", "O", "O", "O", "O", "O", "O", "O", "O", "O", "O", "O", "O", "O", "O", "O", "O", "O"],
  "fractional_positions": [[0.041, 0.121, 0.161], [0.041, 0.379, 0.661], [0.065, 0.088, 0.599], [0.065, 0.412, 0.099], [0.435, 0.588, 0.599], [0.435, 0.912, 0.099], [0.459, 0.621, 0.161], [0.459, 0.879, 0.661], [0.541, 0.121, 0.339], [0.541, 0.379, 0.839], [0.565, 0.088, 0.901], [0.565, 0.412, 0.401], [0.935, 0.588, 0.901], [0.935, 0.912, 0.401], [0.959, 0.621, 0.339], [0.959, 0.879, 0.839], [0.207, 0.217, 0.879], [0.207, 0.283, 0.379], [0.293, 0.717, 0.879], [0.293, 0.783, 0.379], [0.707, 0.217, 0.621], [0.707, 0.283, 0.121], [0.793, 0.717, 0.621], [0.793, 0.783, 0.121], [0.126, 0.723, 0.626], [0.126, 0.777, 0.126], [0.244, 0.008, 0.378], [0.244, 0.492, 0.878], [0.256, 0.508, 0.378], [0.256, 0.992, 0.878], [0.374, 0.223, 0.626], [0.374, 0.277, 0.126], [0.626, 0.723, 0.874], [0.626, 0.777, 0.374], [0.744, 0.008, 0.122], [0.744, 0.492, 0.622], [0.756, 0.508, 0.122], [0.756, 0.992, 0.622], [0.874, 0.223, 0.874], [0.874, 0.277, 0.374], [0.048, 0.718, 0.518], [0.048, 0.782, 0.018], [0.059, 0.719, 0.739], [0.059, 0.781, 0.239], [0.139, 0.024, 0.813], [0.139, 0.476, 0.313], [0.179, 0.099, 0.355], [0.179, 0.401, 0.855], [0.188, 0.555, 0.969], [0.188, 0.945, 0.469], [0.229, 0.232, 0.621], [0.229, 0.268, 0.121], [0.271, 0.732, 0.621], [0.271, 0.768, 0.121], [0.312, 0.055, 0.969], [0.312, 0.445, 0.469], [0.321, 0.599, 0.355], [0.321, 0.901, 0.855], [0.361, 0.524, 0.813], [0.361, 0.976, 0.313], [0.441, 0.219, 0.739], [0.441, 0.281, 0.239], [0.452, 0.218, 0.518], [0.452, 0.282, 0.018], [0.548, 0.718, 0.982], [0.548, 0.782, 0.482], [0.559, 0.719, 0.761], [0.559, 0.781, 0.261], [0.639, 0.024, 0.687], [0.639, 0.476, 0.187], [0.679, 0.099, 0.145], [0.679, 0.401, 0.645], [0.688, 0.555, 0.531], [0.688, 0.945, 0.031], [0.729, 0.232, 0.879], [0.729, 0.268, 0.379], [0.771, 0.732, 0.879], [0.771, 0.768, 0.379], [0.812, 0.055, 0.531], [0.812, 0.445, 0.031], [0.821, 0.599, 0.145], [0.821, 0.901, 0.645], [0.861, 0.524, 0.687], [0.861, 0.976, 0.187], [0.941, 0.219, 0.761], [0.941, 0.281, 0.261], [0.952, 0.218, 0.982], [0.952, 0.282, 0.482]]
}

Most stable: ii

--- i ---
{
  "formula": "Na3CaPCO7",
  "functional": "PBE-GGA",
  "state": "relaxed",
  "density_g_cm3": 2.6,
  "total_magnetization_mub_per_cell": 0.00,
  "cell": [[5.261, 0.000, 0.000], [0.000, 7.023, 0.000], [-0.052, 0.000, 9.305]],
  "species": ["Na", "Na", "Na", "Na", "Na", "Na", "Ca", "Ca", "P", "P", "C", "C", "O", "O", "O", "O", "O", "O", "O", "O", "O", "O", "O", "O", "O", "O"],
  "fractional_positions": [[0.000, 0.000, 0.000], [0.000, 0.500, 0.000], [0.449, 0.249, 0.834], [0.500, 0.001, 0.499], [0.500, 0.501, 0.501], [0.551, 0.749, 0.166], [0.004, 0.750, 0.710], [0.996, 0.250, 0.290], [0.012, 0.750, 0.338], [0.988, 0.250, 0.662], [0.500, 0.250, 0.141], [0.500, 0.750, 0.859], [0.066, 0.072, 0.753], [0.067, 0.429, 0.753], [0.140, 0.250, 0.519], [0.275, 0.250, 0.080], [0.298, 0.750, 0.938], [0.301, 0.751, 0.369], [0.484, 0.751, 0.720], [0.516, 0.251, 0.280], [0.699, 0.251, 0.631], [0.702, 0.250, 0.062], [0.725, 0.750, 0.920], [0.860, 0.750, 0.481], [0.933, 0.929, 0.247], [0.934, 0.572, 0.247]]
}

--- ii ---
{
  "formula": "Na3CaPCO7",
  "functional": "PBE-GGA",
  "state": "relaxed",
  "density_g_cm3": 2.6,
  "total_magnetization_mub_per_cell": 0.00,
  "cell": [[5.210, 0.000, 0.000], [0.000, 7.084, 0.000], [-0.022, 0.000, 9.249]],
  "species": ["Na", "Na", "Na", "Na", "Na", "Na", "Ca", "Ca", "P", "P", "C", "C", "O", "O", "O", "O", "O", "O", "O", "O", "O", "O", "O", "O", "O", "O"],
  "fractional_positions": [[0.239, 0.250, 0.415], [0.242, 0.505, 0.755], [0.242, 0.995, 0.755], [0.758, 0.005, 0.245], [0.758, 0.495, 0.245], [0.761, 0.750, 0.585], [0.230, 0.750, 0.132], [0.770, 0.250, 0.868], [0.303, 0.250, 0.094], [0.697, 0.750, 0.906], [0.263, 0.750, 0.440], [0.737, 0.250, 0.560], [0.038, 0.750, 0.378], [0.206, 0.073, 0.178], [0.206, 0.427, 0.178], [0.213, 0.250, 0.933], [0.281, 0.750, 0.580], [0.398, 0.750, 0.905], [0.470, 0.750, 0.361], [0.530, 0.250, 0.639], [0.602, 0.250, 0.095], [0.719, 0.250, 0.420], [0.787, 0.750, 0.067], [0.794, 0.573, 0.822], [0.794, 0.927, 0.822], [0.962, 0.250, 0.622]]
}

Most stable: ii

--- i ---
{
  "formula": "NaCaRh2C",
  "functional": "PBE-GGA",
  "state": "relaxed",
  "density_g_cm3": 5.7,
  "total_magnetization_mub_per_cell": 0.00,
  "cell": [[4.101, 0.000, 0.000], [0.000, 4.101, 0.000], [0.000, 0.000, 4.874]],
  "species": ["Na", "Ca", "Rh", "Rh", "C"],
  "fractional_positions": [[0.000, 0.000, 0.000], [0.500, 0.500, 0.000], [0.000, 0.500, 0.500], [0.500, 0.000, 0.500], [0.500, 0.500, 0.500]]
}

--- ii ---
{
  "formula": "NaCaRh2C",
  "functional": "PBE-GGA",
  "state": "relaxed",
  "density_g_cm3": 5.8,
  "total_magnetization_mub_per_cell": 0.00,
  "cell": [[4.117, 0.000, 0.000], [0.000, 4.117, 0.000], [0.000, 0.000, 4.709]],
  "species": ["Na", "Ca", "Rh", "Rh", "C"],
  "fractional_positions": [[0.000, 0.000, 0.000], [0.500, 0.500, 0.000], [0.000, 0.500, 0.500], [0.500, 0.000, 0.500], [0.000, 0.000, 0.500]]
}

Most stable: ii